Arrangement a

{"formula": "Ho3SbS6", "functional": "PBE", "state": "relaxed", "lattice": [[6.780, 0.000, 0.000], [0.000, 8.497, -0.022], [0.000, -1.918, 8.278]], "species": ["Ho", "Ho", "S", "Ho", "S", "S", "Ho", "S", "Sb", "Ho", "S", "S", "S", "S", "S", "Ho", "S", "Sb", "S", "S"], "frac_coords": [[0.889, 0.595, 0.405], [0.982, 0.714, 0.915], [0.118, 0.769, 0.231], [0.482, 0.915, 0.714], [0.700, 0.564, 0.099], [0.681, 0.635, 0.695], [0.982, 0.085, 0.286], [0.181, 0.695, 0.635], [0.500, 0.821, 0.179], [0.482, 0.286, 0.085], [0.200, 0.099, 0.564], [0.681, 0.305, 0.365], [0.181, 0.365, 0.305], [0.750, 0.989, 0.011], [0.700, 0.901, 0.436], [0.389, 0.405, 0.595], [0.618, 0.231, 0.769], [0.000, 0.179, 0.821], [0.200, 0.436, 0.901], [0.250, 0.011, 0.989]], "crystal_system": "orthorhombic", "sg": "Cmc2_1, No. 36"}

=====

Arrangement b

{"formula": "Ho3SbS6", "functional": "PBE", "state": "relaxed", "lattice": [[3.983, 0.000, 0.000], [0.000, 10.601, -3.645], [0.000, -0.051, 11.297]], "species": ["S", "Sb", "Ho", "S", "Sb", "Ho", "S", "S", "S", "Ho", "S", "S", "S", "S", "S", "Ho", "S", "Ho", "Ho", "S"], "frac_coords": [[0.250, 0.887, 0.534], [0.250, 0.990, 0.316], [0.750, 0.161, 0.077], [0.750, 0.804, 0.745], [0.750, 0.010, 0.684], [0.750, 0.428, 0.833], [0.750, 0.731, 0.280], [0.750, 0.923, 0.093], [0.750, 0.113, 0.466], [0.250, 0.572, 0.167], [0.250, 0.514, 0.383], [0.750, 0.486, 0.617], [0.250, 0.604, 0.936], [0.250, 0.196, 0.255], [0.750, 0.396, 0.064], [0.750, 0.666, 0.493], [0.250, 0.077, 0.907], [0.250, 0.839, 0.923], [0.250, 0.334, 0.507], [0.250, 0.269, 0.720]], "crystal_system": "monoclinic", "sg": "P2_1/m, No. 11"}

=====

Preferred: arrangement b; penalty for the next structure: 0.020 eV/atom.

=====

Arrangement a

{"formula": "HoSbS3", "functional": "PBE", "state": "relaxed", "lattice": [[3.937, 0.000, 0.000], [0.000, 7.045, 0.005], [0.000, 0.116, 9.834]], "species": ["S", "S", "S", "Ho", "Sb", "S", "S", "S", "Sb", "Ho"], "frac_coords": [[0.750, 0.423, 0.685], [0.250, 0.220, 0.991], [0.750, 0.780, 0.009], [0.250, 0.925, 0.175], [0.250, 0.588, 0.813], [0.750, 0.100, 0.316], [0.250, 0.577, 0.315], [0.250, 0.900, 0.684], [0.750, 0.412, 0.187], [0.750, 0.075, 0.825]], "crystal_system": "monoclinic", "sg": "P2_1/m, No. 11"}

=====

Arrangement b

{"formula": "HoSbS3", "functional": "PBE", "state": "relaxed", "lattice": [[-6.119, -3.230, 0.268], [0.467, -0.324, 6.758], [-2.953, 5.349, -2.942]], "species": ["Ho", "S", "S", "S", "S", "Sb", "S", "S", "Sb", "Ho"], "frac_coords": [[0.000, 0.000, 0.000], [0.750, 0.703, 0.032], [0.250, 0.703, 0.671], [0.750, 0.329, 0.297], [0.250, 0.968, 0.297], [0.000, 0.667, 0.333], [0.250, 0.329, 0.032], [0.750, 0.968, 0.671], [0.500, 0.667, 0.333], [0.500, 0.000, 0.000]], "crystal_system": "hexagonal", "sg": "P-6c2, No. 188"}

=====

Preferred: arrangement a; penalty for the next structure: 0.138 eV/atom.

=====

Arrangement a

{"formula": "HoScS2", "functional": "PBE", "state": "relaxed", "lattice": [[3.714, 0.000, 0.000], [1.857, 3.216, 0.000], [1.857, 1.072, 6.523]], "species": ["S", "Sc", "S", "Ho"], "frac_coords": [[0.077, 0.077, 0.770], [0.673, 0.673, 0.981], [0.255, 0.255, 0.234], [0.495, 0.495, 0.515]], "crystal_system": "trigonal", "sg": "R3m, No. 160"}

=====

Arrangement b

{"formula": "HoScS2", "functional": "PBE", "state": "relaxed", "lattice": [[3.798, 0.000, 0.000], [1.899, 3.289, 0.000], [1.899, 1.096, 6.162]], "species": ["Sc", "Ho", "S", "S"], "frac_coords": [[0.000, 0.000, 0.000], [0.500, 0.500, 0.500], [0.255, 0.255, 0.236], [0.745, 0.745, 0.764]], "crystal_system": "trigonal", "sg": "R-3m, No. 166"}

=====

Arrangement c

{"formula": "HoScS2", "functional": "PBE", "state": "relaxed", "lattice": [[-2.737, 1.336, -2.040], [-0.611, -0.958, 3.485], [1.567, 6.252, 1.993]], "species": ["S", "S", "Ho", "Sc"], "frac_coords": [[0.333, 0.167, 0.235], [0.667, 0.833, 0.765], [0.000, 0.500, 0.500], [0.000, 0.500, 0.000]], "crystal_system": "trigonal", "sg": "P-3m1, No. 164"}

=====

Preferred: arrangement b; penalty for the next structure: 0.010 eV/atom.

=====

Arrangement a

{"formula": "Ho2ScS4", "functional": "PBE", "state": "relaxed", "lattice": [[-1.973, 0.348, 3.112], [-3.853, -3.312, -4.273], [4.842, -11.213, 4.325]], "species": ["Sc", "S", "S", "S", "S", "S", "Ho", "S", "Sc", "Ho", "Ho", "Ho", "S", "S"], "frac_coords": [[0.630, 0.261, 0.750], [0.779, 0.559, 0.375], [0.983, 0.965, 0.750], [0.779, 0.559, 0.125], [0.500, 0.000, 0.000], [0.221, 0.441, 0.625], [0.130, 0.261, 0.426], [0.500, 0.000, 0.500], [0.370, 0.739, 0.250], [0.870, 0.739, 0.574], [0.870, 0.739, 0.926], [0.130, 0.261, 0.074], [0.017, 0.035, 0.250], [0.221, 0.441, 0.875]], "crystal_system": "orthorhombic", "sg": "Cmcm, No. 63"}

=====

Arrangement b

{"formula": "Ho2ScS4", "functional": "PBE", "state": "relaxed", "lattice": [[7.057, 0.166, -3.484], [-1.966, 6.686, -3.660], [-0.505, -0.486, 7.846]], "species": ["S", "Ho", "Ho", "S", "S", "Sc", "S", "S", "Ho", "S", "S", "Ho", "S", "Sc"], "frac_coords": [[0.387, 0.129, 0.258], [0.625, 0.375, 0.250], [0.625, 0.875, 0.250], [0.379, 0.137, 0.758], [0.379, 0.621, 0.758], [0.250, 0.750, 0.500], [0.871, 0.129, 0.742], [0.863, 0.621, 0.242], [0.625, 0.375, 0.750], [0.871, 0.129, 0.258], [0.379, 0.621, 0.242], [0.125, 0.375, 0.750], [0.871, 0.613, 0.742], [0.000, 0.000, 0.000]], "crystal_system": "tetragonal", "sg": "I4_1/amd, No. 141"}

=====

Preferred: arrangement a; penalty for the next structure: 0.039 eV/atom.